An optimized crystal structure of BeCrMoO4. Source: Alexandria via LeMat-Bulk, functional GGA+U.

Results
- mass density (g cm⁻³) = 5.1
- uncorrected energy (eV/atom) = -7.25

abc: 4.874 4.874 6.549
angles: 90.00 90.00 113.29
Fractional positions:
O: 0.739 0.261 0.948
O: 0.261 0.739 0.448
O: 0.722 0.773 0.750
O: 0.739 0.261 0.552
O: 0.278 0.227 0.250
O: 0.227 0.278 0.750
O: 0.773 0.722 0.250
O: 0.261 0.739 0.052
Cr: 0.500 0.500 0.000
Cr: 0.500 0.500 0.500
Be: 0.845 0.155 0.750
Be: 0.155 0.845 0.250
Mo: 0.183 0.817 0.750
Mo: 0.817 0.183 0.250